1.
! PBE Ce4CI5, relaxed; values from VASP
! SG: C2/m
! N(E_F) in states/eV/cell: 25.04
! Raw formation energy in eV/atom: -1.01
! Size of the total moment in μB/atom: 0.39
&SYSTEM
  ibrav = 0, nat = 10, ntyp = 3
/
ATOMIC_SPECIES
Ce 140.12 Ce.upf
I 126.90 I.upf
C 12.01 C.upf
CELL_PARAMETERS angstrom
-0.916 -3.548 1.739
7.912 -3.214 -2.389
2.196 5.568 7.786
ATOMIC_POSITIONS angstrom
Ce 0.530 -0.971 3.029
Ce 8.662 -0.223 4.108
Ce 6.406 -2.583 -1.895
Ce 2.786 1.389 9.032
I 3.498 -3.381 -0.325
I 3.324 0.133 2.023
I 7.063 -1.314 1.040
I 2.129 0.120 6.097
I 5.868 -1.327 5.113
C -0.458 -1.774 0.870

---

2.
! PBE CdCo2N, relaxed; values from VASP
! SG: I-42d
! N(E_F) in states/eV/cell: 4.08
! Raw formation energy in eV/atom: 0.15
! Size of the total moment in μB/atom: 0.00
! Polymorph energy (0 for the lowest one) in eV/f.u.: 0.04
&SYSTEM
  ibrav = 0, nat = 8, ntyp = 3
/
ATOMIC_SPECIES
Co 58.93 Co.upf
Cd 112.41 Cd.upf
N 14.01 N.upf
CELL_PARAMETERS angstrom
5.953 0.000 0.000
0.000 5.953 0.000
2.976 2.976 2.944
ATOMIC_POSITIONS angstrom
Co 3.626 4.465 0.736
Co 2.327 1.488 0.736
Co 7.441 5.304 2.208
Co 4.465 6.602 2.208
Cd 5.953 2.976 1.472
Cd 0.000 0.000 0.000
N 2.976 5.953 1.472
N 2.976 2.976 0.000

---

3.
! PBE Dy6Hg3Pd, relaxed; values from VASP
! SG: P2_1/m
! N(E_F) in states/eV/cell: 17.32
! Size of the total moment in μB/atom: 0.00
! DFT formation energy in eV per formula unit: -4.35
&SYSTEM
  ibrav = 0, nat = 20, ntyp = 3
/
ATOMIC_SPECIES
Dy 162.50 Dy.upf
Hg 200.59 Hg.upf
Pd 106.42 Pd.upf
CELL_PARAMETERS angstrom
5.055 0.000 0.000
0.000 9.065 -3.468
0.000 -0.587 11.837
ATOMIC_POSITIONS angstrom
Dy 3.791 4.177 8.833
Dy 1.264 0.685 9.571
Dy 3.791 0.740 7.049
Dy 3.791 2.760 2.294
Dy 1.264 7.739 1.320
Dy 1.264 2.154 4.680
Dy 3.791 7.794 -1.202
Dy 3.791 6.324 3.689
Dy 3.791 7.750 7.241
Dy 1.264 5.718 6.075
Dy 1.264 4.301 -0.464
Dy 1.264 0.729 1.129
Hg 3.791 3.873 5.697
Hg 1.264 6.152 9.152
Hg 3.791 5.537 0.720
Hg 3.791 2.327 -0.783
Hg 1.264 2.941 7.649
Hg 1.264 4.605 2.672
Pd 1.264 7.831 4.133
Pd 3.791 0.648 4.236